No. 1
Compound: AlIr
Source: the Alexandria database
Functional: GGA-PBE
Structure: relaxed

VASP energy ... -6.628 eV/atom
DOS at the Fermi energy ... 1.0154 states/eV/atom
Spin magnetization ... 0.000 μB/f.u.
ΔE_f ... -326.4 meV per atom
Symmetry ... P4/nmm (129)
Crystal system ... tetragonal

```
data_AlIr
_chemical_formula_sum 'Al2 Ir2'
_symmetry_space_group_name_H-M 'P 1'
_symmetry_Int_Tables_number 1
_cell_length_a 2.803
_cell_length_b 2.803
_cell_length_c 7.651
_cell_angle_alpha 90.00
_cell_angle_beta 90.00
_cell_angle_gamma 90.00
loop_
_symmetry_equiv_pos_as_xyz
'x,y,z'
loop_
_atom_site_label
_atom_site_fract_x
_atom_site_fract_y
_atom_site_fract_z
Al1 0.250 0.250 0.151
Al2 0.750 0.750 0.849
Ir1 0.250 0.250 0.630
Ir2 0.750 0.750 0.370
```

No. 2
Compound: AlIr2
Source: the Alexandria database
Functional: GGA-PBE
Structure: relaxed

VASP energy ... -7.503 eV/atom
DOS at the Fermi energy ... 0.9249 states/eV/atom
Spin magnetization ... 0.000 μB/f.u.
ΔE_f ... -347.9 meV per atom
Symmetry ... Immm (71)
Crystal system ... orthorhombic

```
data_AlIr2
_chemical_formula_sum 'Al1 Ir2'
_symmetry_space_group_name_H-M 'P 1'
_symmetry_Int_Tables_number 1
_cell_length_a 4.931
_cell_length_b 4.931
_cell_length_c 4.931
_cell_angle_alpha 147.42
_cell_angle_beta 137.69
_cell_angle_gamma 54.39
loop_
_symmetry_equiv_pos_as_xyz
'x,y,z'
loop_
_atom_site_label
_atom_site_fract_x
_atom_site_fract_y
_atom_site_fract_z
Al1 0.000 0.000 0.000
Ir1 0.345 0.345 0.000
Ir2 0.655 0.655 0.000
```

No. 3
Compound: AlIr5
Source: the Alexandria database
Functional: GGA-PBE
Structure: relaxed

Energy above the most stable polymorph in this dataset ... 3.66 eV/f.u.
VASP energy ... -7.632 eV/atom
DOS at the Fermi energy ... 1.3467 states/eV/atom
Spin magnetization ... 0.000 μB/f.u.
ΔE_f ... 375.8 meV per atom
Symmetry ... P6/mmm (191)
Crystal system ... hexagonal

```
data_AlIr5
_chemical_formula_sum 'Al1 Ir5'
_symmetry_space_group_name_H-M 'P 1'
_symmetry_Int_Tables_number 1
_cell_length_a 5.076
_cell_length_b 5.076
_cell_length_c 4.500
_cell_angle_alpha 90.00
_cell_angle_beta 90.00
_cell_angle_gamma 120.00
loop_
_symmetry_equiv_pos_as_xyz
'x,y,z'
loop_
_atom_site_label
_atom_site_fract_x
_atom_site_fract_y
_atom_site_fract_z
Al1 0.000 0.000 0.000
Ir1 0.000 0.500 0.500
Ir2 0.333 0.667 0.000
Ir3 0.500 0.000 0.500
Ir4 0.500 0.500 0.500
Ir5 0.667 0.333 0.000
```

No. 4
Compound: AlIr
Source: the Alexandria database
Functional: GGA-PBE
Structure: relaxed

VASP energy ... -6.955 eV/atom
DOS at the Fermi energy ... 0.5490 states/eV/atom
Spin magnetization ... 0.000 μB/f.u.
ΔE_f ... -653.7 meV per atom
Symmetry ... Fddd (70)
Crystal system ... orthorhombic

```
data_AlIr
_chemical_formula_sum 'Al4 Ir4'
_symmetry_space_group_name_H-M 'P 1'
_symmetry_Int_Tables_number 1
_cell_length_a 9.078
_cell_length_b 7.352
_cell_length_c 5.709
_cell_angle_alpha 87.10
_cell_angle_beta 53.98
_cell_angle_gamma 38.91
loop_
_symmetry_equiv_pos_as_xyz
'x,y,z'
loop_
_atom_site_label
_atom_site_fract_x
_atom_site_fract_y
_atom_site_fract_z
Al1 0.010 0.740 0.010
Al2 0.260 0.990 0.260
Al3 0.740 0.010 0.740
Al4 0.990 0.260 0.990
Ir1 0.268 0.268 0.482
Ir2 0.482 0.482 0.268
Ir3 0.518 0.518 0.732
Ir4 0.732 0.732 0.518
```

No. 5
Compound: Al2Ir
Source: the Alexandria database
Functional: GGA-PBE
Structure: relaxed

VASP energy ... -6.222 eV/atom
DOS at the Fermi energy ... 0.2439 states/eV/atom
Spin magnetization ... 0.000 μB/f.u.
ΔE_f ... -773.0 meV per atom
Symmetry ... C2/m (12)
Crystal system ... monoclinic

```
data_Al2Ir
_chemical_formula_sum 'Al4 Ir2'
_symmetry_space_group_name_H-M 'P 1'
_symmetry_Int_Tables_number 1
_cell_length_a 4.576
_cell_length_b 4.576
_cell_length_c 6.829
_cell_angle_alpha 101.85
_cell_angle_beta 101.85
_cell_angle_gamma 40.25
loop_
_symmetry_equiv_pos_as_xyz
'x,y,z'
loop_
_atom_site_label
_atom_site_fract_x
_atom_site_fract_y
_atom_site_fract_z
Al1 0.127 0.127 0.417
Al2 0.343 0.343 0.898
Al3 0.657 0.657 0.102
Al4 0.873 0.873 0.583
Ir1 0.391 0.391 0.281
Ir2 0.609 0.609 0.719
```

No. 6
Compound: Al3Ir5
Source: the Alexandria database
Functional: GGA-PBE
Structure: relaxed

Energy above the most stable polymorph in this dataset ... 1.77 eV/f.u.
VASP energy ... -7.313 eV/atom
DOS at the Fermi energy ... 1.0894 states/eV/atom
Spin magnetization ... 0.000 μB/f.u.
ΔE_f ... -371.8 meV per atom
Symmetry ... P6_3/mcm (193)
Crystal system ... hexagonal

```
data_Al3Ir5
_chemical_formula_sum 'Al6 Ir10'
_symmetry_space_group_name_H-M 'P 1'
_symmetry_Int_Tables_number 1
_cell_length_a 7.131
_cell_length_b 7.131
_cell_length_c 5.263
_cell_angle_alpha 90.00
_cell_angle_beta 90.00
_cell_angle_gamma 120.00
loop_
_symmetry_equiv_pos_as_xyz
'x,y,z'
loop_
_atom_site_label
_atom_site_fract_x
_atom_site_fract_y
_atom_site_fract_z
Al1 0.000 0.405 0.250
Al2 0.000 0.595 0.750
Al3 0.405 0.000 0.250
Al4 0.405 0.405 0.750
Al5 0.595 0.000 0.750
Al6 0.595 0.595 0.250
Ir1 0.000 0.229 0.750
Ir2 0.000 0.771 0.250
Ir3 0.229 0.000 0.750
Ir4 0.229 0.229 0.250
Ir5 0.333 0.667 0.000
Ir6 0.333 0.667 0.500
Ir7 0.667 0.333 0.000
Ir8 0.667 0.333 0.500
Ir9 0.771 0.000 0.250
Ir10 0.771 0.771 0.750
```

No. 7
Compound: Al2Ir
Source: the Alexandria database
Functional: GGA-PBE
Structure: relaxed

VASP energy ... -6.132 eV/atom
DOS at the Fermi energy ... 0.3871 states/eV/atom
Spin magnetization ... 0.000 μB/f.u.
ΔE_f ... -683.2 meV per atom
Symmetry ... Cmc2_1 (36)
Crystal system ... orthorhombic

```
data_Al2Ir
_chemical_formula_sum 'Al4 Ir2'
_symmetry_space_group_name_H-M 'P 1'
_symmetry_Int_Tables_number 1
_cell_length_a 4.607
_cell_length_b 4.607
_cell_length_c 6.946
_cell_angle_alpha 90.00
_cell_angle_beta 90.00
_cell_angle_gamma 142.43
loop_
_symmetry_equiv_pos_as_xyz
'x,y,z'
loop_
_atom_site_label
_atom_site_fract_x
_atom_site_fract_y
_atom_site_fract_z
Al1 0.079 0.921 0.500
Al2 0.338 0.662 0.314
Al3 0.662 0.338 0.814
Al4 0.921 0.079 0.000
Ir1 0.382 0.618 0.682
Ir2 0.618 0.382 0.182
```

No. 8
Compound: AlIr
Source: the Alexandria database
Functional: GGA-PBE
Structure: relaxed

VASP energy ... -5.834 eV/atom
DOS at the Fermi energy ... 0.0806 states/eV/atom
Spin magnetization ... 0.000 μB/f.u.
ΔE_f ... 467.7 meV per atom
Symmetry ... Pm-3n (223)
Crystal system ... cubic

```
data_AlIr
_chemical_formula_sum 'Al6 Ir6'
_symmetry_space_group_name_H-M 'P 1'
_symmetry_Int_Tables_number 1
_cell_length_a 6.785
_cell_length_b 6.785
_cell_length_c 6.785
_cell_angle_alpha 90.00
_cell_angle_beta 90.00
_cell_angle_gamma 90.00
loop_
_symmetry_equiv_pos_as_xyz
'x,y,z'
loop_
_atom_site_label
_atom_site_fract_x
_atom_site_fract_y
_atom_site_fract_z
Al1 0.000 0.250 0.500
Al2 0.000 0.750 0.500
Al3 0.250 0.500 0.000
Al4 0.500 0.000 0.250
Al5 0.500 0.000 0.750
Al6 0.750 0.500 0.000
Ir1 0.000 0.500 0.250
Ir2 0.000 0.500 0.750
Ir3 0.250 0.000 0.500
Ir4 0.500 0.250 0.000
Ir5 0.500 0.750 0.000
Ir6 0.750 0.000 0.500
```

No. 9
Compound: AlIr
Source: the Alexandria database
Functional: GGA-PBE
Structure: relaxed

VASP energy ... -6.535 eV/atom
DOS at the Fermi energy ... 1.4326 states/eV/atom
Spin magnetization ... 0.048 μB/f.u.
ΔE_f ... -233.5 meV per atom
Symmetry ... Fd-3m (227)
Crystal system ... cubic

```
data_AlIr
_chemical_formula_sum 'Al2 Ir2'
_symmetry_space_group_name_H-M 'P 1'
_symmetry_Int_Tables_number 1
_cell_length_a 4.369
_cell_length_b 4.369
_cell_length_c 4.369
_cell_angle_alpha 60.00
_cell_angle_beta 60.00
_cell_angle_gamma 60.00
loop_
_symmetry_equiv_pos_as_xyz
'x,y,z'
loop_
_atom_site_label
_atom_site_fract_x
_atom_site_fract_y
_atom_site_fract_z
Al1 0.125 0.125 0.125
Al2 0.875 0.875 0.875
Ir1 0.375 0.375 0.375
Ir2 0.625 0.625 0.625
```

No. 10
Compound: AlIr2
Source: the Alexandria database
Functional: GGA-PBE
Structure: relaxed

VASP energy ... -7.599 eV/atom
DOS at the Fermi energy ... 1.1243 states/eV/atom
Spin magnetization ... 0.000 μB/f.u.
ΔE_f ... -444.6 meV per atom
Symmetry ... I4/mmm (139)
Crystal system ... tetragonal

```
data_AlIr2
_chemical_formula_sum 'Al1 Ir2'
_symmetry_space_group_name_H-M 'P 1'
_symmetry_Int_Tables_number 1
_cell_length_a 5.827
_cell_length_b 5.827
_cell_length_c 5.827
_cell_angle_alpha 152.29
_cell_angle_beta 152.29
_cell_angle_gamma 39.58
loop_
_symmetry_equiv_pos_as_xyz
'x,y,z'
loop_
_atom_site_label
_atom_site_fract_x
_atom_site_fract_y
_atom_site_fract_z
Al1 0.000 0.000 0.000
Ir1 0.339 0.339 0.000
Ir2 0.661 0.661 0.000
```

No. 11
Compound: AlIr
Source: the Alexandria database
Functional: GGA-PBE
Structure: relaxed

VASP energy ... -6.533 eV/atom
DOS at the Fermi energy ... 1.0055 states/eV/atom
Spin magnetization ... 0.000 μB/f.u.
ΔE_f ... -231.6 meV per atom
Symmetry ... P6_3/mmc (194)
Crystal system ... hexagonal

```
data_AlIr
_chemical_formula_sum 'Al4 Ir4'
_symmetry_space_group_name_H-M 'P 1'
_symmetry_Int_Tables_number 1
_cell_length_a 4.347
_cell_length_b 4.347
_cell_length_c 7.828
_cell_angle_alpha 90.00
_cell_angle_beta 90.00
_cell_angle_gamma 120.00
loop_
_symmetry_equiv_pos_as_xyz
'x,y,z'
loop_
_atom_site_label
_atom_site_fract_x
_atom_site_fract_y
_atom_site_fract_z
Al1 0.333 0.667 0.081
Al2 0.333 0.667 0.419
Al3 0.667 0.333 0.581
Al4 0.667 0.333 0.919
Ir1 0.000 0.000 0.250
Ir2 0.000 0.000 0.750
Ir3 0.333 0.667 0.750
Ir4 0.667 0.333 0.250
```

No. 12
Compound: Al5Ir
Source: the Alexandria database
Functional: GGA-PBE
Structure: relaxed

VASP energy ... -4.487 eV/atom
DOS at the Fermi energy ... 0.7931 states/eV/atom
Spin magnetization ... 0.000 μB/f.u.
ΔE_f ... 108.5 meV per atom
Symmetry ... F-43m (216)
Crystal system ... cubic

```
data_Al5Ir
_chemical_formula_sum 'Al5 Ir1'
_symmetry_space_group_name_H-M 'P 1'
_symmetry_Int_Tables_number 1
_cell_length_a 5.093
_cell_length_b 5.093
_cell_length_c 5.093
_cell_angle_alpha 60.00
_cell_angle_beta 60.00
_cell_angle_gamma 60.00
loop_
_symmetry_equiv_pos_as_xyz
'x,y,z'
loop_
_atom_site_label
_atom_site_fract_x
_atom_site_fract_y
_atom_site_fract_z
Al1 0.000 0.000 0.000
Al2 0.374 0.374 0.374
Al3 0.374 0.374 0.877
Al4 0.374 0.877 0.374
Al5 0.877 0.374 0.374
Ir1 0.750 0.750 0.750
```